Material: ZrBe2Fe
Method: DFT, GGA-PBE
State: relaxed

Its magnetization is 0.00 μB/f.u. For the relative energy among the computed polymorphs, the calculation gives 50.9 meV per atom. The total energy comes out at -6.183 eV per atom.

The space group is Cm (No. 8) and the conventional cell measures 6.331, 3.661 and 4.887 Å, with angles of 90.00, 115.65 and 90.00 degrees. The asymmetric unit holds Zr at (0.000, 0.000, 0.000), Be at (0.002, 0.500, 0.506), Be at (0.197, 0.000, 0.590) and Fe at (0.293, 0.500, 0.378).

Material: Zr2BeFe
Method: DFT, GGA-PBE
State: relaxed

Its magnetization is 0.00 μB/f.u. The total energy comes out at -6.923 eV per atom.

The space group is I-42d (No. 122) and the conventional cell measures 7.046, 7.046 and 5.504 Å, with angles of 90.00, 90.00 and 90.00 degrees. The asymmetric unit holds Zr at (0.222, 0.250, 0.125), Be at (0.000, 0.000, 0.500) and Fe at (0.000, 0.000, 0.000).

Material: ZrBe2Fe
Method: DFT, GGA-PBE
State: relaxed

Its magnetization is 2.03 μB/f.u. For the relative energy among the computed polymorphs, the calculation gives 575.6 meV per atom. The total energy comes out at -5.658 eV per atom.

The space group is R3m (No. 160, hexagonal axes) and the conventional cell measures 2.7243, 2.7243 and 24.9624 Å, with angles of 90.00, 90.00 and 120.00 degrees. The asymmetric unit holds Zr at (0.0000, 0.0000, 0.0000), Be at (0.0000, 0.0000, 0.4956), Be at (0.0000, 0.0000, 0.7607) and Fe at (0.0000, 0.0000, 0.2337).

Material: Zr2Be12Fe5
Method: DFT, GGA-PBE
State: relaxed

Its magnetization is 2.66 μB/f.u. The total energy comes out at -5.698 eV per atom.

The space group is R-3m (No. 166, hexagonal axes) and the conventional cell measures 7.7455, 7.7455 and 11.2513 Å, with angles of 90.00, 90.00 and 120.00 degrees. The asymmetric unit holds Zr at (0.0000, 0.0000, 0.1638), Be at (0.0000, 0.2856, 0.5000), Be at (0.0004, 0.5002, 0.3445), Fe at (0.0000, 0.0000, 0.4029) and Fe at (0.0000, 0.5000, 0.0000).

Material: ZrBe5Fe7
Method: DFT, GGA-PBE
State: relaxed

Its magnetization is 12.06 μB/f.u. The total energy comes out at -6.841 eV per atom.

The space group is Imm2 (No. 44) and the conventional cell measures 4.467, 7.792 and 7.912 Å, with angles of 90.00, 90.00 and 90.00 degrees. The asymmetric unit holds Zr at (0.000, 0.000, 0.000), Be at (0.000, 0.500, 0.274), Be at (0.250, 0.246, 0.753), Fe at (0.000, 0.000, 0.357), Fe at (0.000, 0.000, 0.642), Fe at (0.000, 0.288, 0.502), Fe at (0.000, 0.355, 0.001) and Fe at (0.000, 0.500, 0.723).

Material: ZrBeFe3
Method: DFT, GGA-PBE
State: relaxed

Its magnetization is 3.98 μB/f.u. For the relative energy among the computed polymorphs, the calculation gives 0.0 meV per atom. The total energy comes out at -7.380 eV per atom.

The space group is Pm-3m (No. 221) and the conventional cell measures 3.999, 3.999 and 3.999 Å, with angles of 90.00, 90.00 and 90.00 degrees. The asymmetric unit holds Zr at (0.000, 0.000, 0.000), Be at (0.500, 0.500, 0.500) and Fe at (0.000, 0.500, 0.500).

| no. | formation enthalpy at 0 K (eV/atom) |
| --- | --- |
| 1 | -0.07 |
| 2 | 0.40 |
| 3 | 0.46 |
| 4 | -0.22 |
| 5 | -0.19 |
| 6 | 0.15 |